CsRuC2: relaxed, PBE.

The structure in POSCAR format:
```
CsRuC2
1.0
0.000 4.366 4.366
4.366 0.000 4.366
4.366 4.366 0.000
Cs Ru C
2 2 4
direct
0.125 0.125 0.125
0.875 0.875 0.875
0.375 0.375 0.375
0.625 0.625 0.625
0.000 0.500 0.500
0.500 0.000 0.500
0.500 0.500 0.000
0.500 0.500 0.500
```

Summary:
E = -6.521 eV/atom
crystal system = cubic
SG = Fd-3m
DFT formation energy = 0.6233 eV/atom
magnetic moment = 0.000 μB per formula unit
density = 5.15 g cm⁻³

***

CsRuC3: relaxed, PBE.

The structure in POSCAR format:
```
CsRuC3
1.0
4.179 0.000 0.000
0.000 4.179 0.000
0.000 0.000 4.179
Cs Ru C
1 1 3
direct
0.000 0.000 0.000
0.500 0.500 0.500
0.000 0.500 0.500
0.500 0.000 0.500
0.500 0.500 0.000
```

Summary:
E = -5.565 eV/atom
crystal system = cubic
ΔE to the lowest computed polymorph = 0.0000 eV per atom
SG = Pm-3m
DFT formation energy = 1.9950 eV/atom
magnetic moment = 2.252 μB per formula unit
density = 6.14 g cm⁻³

***

CsRu3C: relaxed, PBE.

The structure in POSCAR format:
```
CsRu3C
1.0
4.280 0.000 0.000
0.000 4.280 0.000
0.000 0.000 4.280
Cs Ru C
1 3 1
direct
0.000 0.000 0.000
0.000 0.500 0.500
0.500 0.000 0.500
0.500 0.500 0.000
0.500 0.500 0.500
```

Summary:
E = -6.284 eV/atom
crystal system = cubic
ΔE to the lowest computed polymorph = 0.0000 eV per atom
SG = Pm-3m
DFT formation energy = 1.2966 eV/atom
magnetic moment = 0.000 μB per formula unit
density = 9.49 g cm⁻³

***

CsTiRuC2: relaxed, PBE.

The structure in POSCAR format:
```
CsTiRuC2
1.0
4.226 0.000 0.000
0.000 4.226 0.000
0.000 0.000 4.949
Cs Ti Ru C
1 1 1 2
direct
0.000 0.000 0.000
0.500 0.500 0.500
0.500 0.500 0.000
0.000 0.500 0.500
0.500 0.000 0.500
```

Summary:
E = -5.478 eV/atom
crystal system = tetragonal
SG = P4/mmm
DFT formation energy = 1.8166 eV/atom
magnetic moment = 0.000 μB per formula unit
density = 5.75 g cm⁻³

***

Cs2ZrRuC: relaxed, PBE.

The structure in POSCAR format:
```
Cs2ZrRuC
1.0
6.764 0.000 0.000
0.000 6.764 0.000
0.000 0.000 3.745
Cs Zr Ru C
2 1 1 1
direct
0.000 0.500 0.000
0.500 0.000 0.000
0.000 0.000 0.500
0.500 0.500 0.000
0.500 0.500 0.500
```

Summary:
E = -4.147 eV/atom
crystal system = tetragonal
SG = P4/mmm
DFT formation energy = 1.6038 eV/atom
magnetic moment = 3.052 μB per formula unit
density = 4.56 g cm⁻³

***

CsCS2: relaxed, PBE.

The structure in POSCAR format:
```
CsCS2
1.0
4.804 0.000 0.000
0.004 5.370 0.000
2.400 2.468 5.614
Cs C S
1 1 2
direct
0.000 0.000 0.000
0.444 0.425 0.114
0.321 0.473 0.360
0.589 0.583 0.823
```

Summary:
E = -4.671 eV/atom
crystal system = triclinic
formation energy without anion corrections = -0.0878 eV per atom
SG = P1
magnetic moment = 1.000 μB per formula unit
density = 2.40 g cm⁻³

***

Which of these has the highest density? CsRu3C

***

density of number 1 (CsRuC2)? 5.15 g cm⁻³